# 1
This record from Alexandria via LeMat-Bulk describes a relaxed structure of Si3Ir. The functional is GGA-PBE.

a = 2.756 Å, b = 4.055 Å, c = 11.058 Å
α = 90.00°, β = 90.00°, γ = 90.00°
Space group Immm (No. 71)
Unique sites:
Si 0.000 0.000 0.000
Si 0.000 0.500 0.204
Ir 0.000 0.000 0.500

Formation energy without anion corrections, kJ/mol of atoms: 6
Total magnetic moment, μB per formula unit: 0.00

***

# 2
This record from Alexandria via LeMat-Bulk describes a relaxed structure of SiIr2. The functional is GGA-PBE.

a = 9.716 Å, b = 2.820 Å, c = 6.958 Å
α = 90.00°, β = 116.93°, γ = 90.00°
Space group C2/m (No. 12)
Unique sites:
Si 0.049 0.000 0.302
Ir 0.131 0.500 0.988
Ir 0.175 0.500 0.622

Formation energy without anion corrections, kJ/mol of atoms: -27
Total magnetic moment, μB per formula unit: 0.00

***

# 3
This record from Alexandria via LeMat-Bulk describes a relaxed structure of Si3Ir. The functional is GGA-PBE.

a = 5.3945 Å, b = 5.3945 Å, c = 4.5077 Å
α = 90.00°, β = 90.00°, γ = 120.00°
Space group P6_3/mmc (No. 194)
Unique sites:
Si 0.1705 0.3410 0.2500
Ir 0.3333 0.6667 0.7500

Formation energy without anion corrections, kJ/mol of atoms: 28
Total magnetic moment, μB per formula unit: 0.00

***

What did the third record say?
This record from Alexandria via LeMat-Bulk describes a relaxed structure of Si3Ir. The functional is GGA-PBE.

a = 5.3945 Å, b = 5.3945 Å, c = 4.5077 Å
α = 90.00°, β = 90.00°, γ = 120.00°
Space group P6_3/mmc (No. 194)
Unique sites:
Si 0.1705 0.3410 0.2500
Ir 0.3333 0.6667 0.7500

Formation energy without anion corrections, kJ/mol of atoms: 28
Total magnetic moment, μB per formula unit: 0.00

***

Which value of total magnetic moment does entry 2 give? 0.00 μB per formula unit